1.
## HoGaBr4 (PBE-GGA)

Data for HoGaBr4 after structural relaxation.

POSCAR file:
```
HoGaBr4
1.0
4.2033 0.0000 0.0000
-2.0868 6.9636 0.0000
-0.0013 -1.4097 7.7668
Ho Ga Br
1 1 4
Direct
0.0000 0.0000 0.0000
0.5000 0.0000 0.5000
0.1118 0.2255 0.3234
0.3861 0.7705 0.1046
0.6139 0.2295 0.8954
0.8882 0.7745 0.6766
```

Properties
density = 4.05 g cm⁻³
density of states at the Fermi level = 0.0 states/eV per cell
E_form (uncorrected) = -1417 meV per atom
V = 37.89 A^3/atom

=====

2.
## Ho2GaBr (PBE-GGA)

Data for Ho2GaBr after structural relaxation.

POSCAR file:
```
Ho2GaBr
1.0
2.0891 1.2062 6.9560
-2.0891 1.2062 6.9560
0.0000 -2.4123 6.9560
Ho Ga Br
2 1 1
Direct
0.2386 0.2386 0.2386
0.7614 0.7614 0.7614
0.5000 0.5000 0.5000
0.0000 0.0000 0.0000
```

Properties
density = 7.57 g cm⁻³
density of states at the Fermi level = 2.5 states/eV per cell
E_form (uncorrected) = -797 meV per atom
V = 26.29 A^3/atom

=====

3.
## Ho2GaBr (PBE-GGA)

Data for Ho2GaBr after structural relaxation.

POSCAR file:
```
Ho2GaBr
1.0
2.0588 1.1886 7.4089
-2.0588 1.1886 7.4089
0.0000 -2.3773 7.4089
Ho Ga Br
2 1 1
Direct
0.0000 0.0000 0.0000
0.1962 0.1962 0.1962
0.5989 0.5989 0.5989
0.4275 0.4275 0.4275
```

Properties
density = 7.32 g cm⁻³
density of states at the Fermi level = 3.4 states/eV per cell
E_form (uncorrected) = -732 meV per atom
V = 27.20 A^3/atom

=====

4.
## Ho3GaBr3 (PBE-GGA)

Data for Ho3GaBr3 after structural relaxation.

POSCAR file:
```
Ho3GaBr3
1.0
-5.8150 5.8150 5.8150
5.8150 -5.8150 5.8150
5.8150 5.8150 -5.8150
Ho Ga Br
12 4 12
Direct
0.0109 0.0217 0.2609
0.0109 0.4891 0.7500
0.0217 0.2609 0.0109
0.2391 0.2609 0.7500
0.2391 0.4783 0.4891
0.2609 0.0109 0.0217
0.2609 0.7500 0.2391
0.4783 0.4891 0.2391
0.4891 0.2391 0.4783
0.4891 0.7500 0.0109
0.7500 0.0109 0.4891
0.7500 0.2391 0.2609
0.0000 0.2500 0.5000
0.2500 0.2500 0.2500
0.2500 0.5000 0.0000
0.5000 0.0000 0.2500
0.2500 0.7556 0.7444
0.2500 0.9944 0.5056
0.5056 0.2500 0.9944
0.5056 0.7556 0.5112
0.5112 0.5056 0.7556
0.7444 0.2500 0.7556
0.7444 0.9944 0.9888
0.7556 0.5112 0.5056
0.7556 0.7444 0.2500
0.9888 0.7444 0.9944
0.9944 0.5056 0.2500
0.9944 0.9888 0.7444
```

Properties
density = 6.79 g cm⁻³
density of states at the Fermi level = 9.6 states/eV per cell
E_form (uncorrected) = -1241 meV per atom
V = 28.09 A^3/atom

=====

5.
## Ho4Ga2Br5 (PBE-GGA)

Data for Ho4Ga2Br5 after structural relaxation.

POSCAR file:
```
Ho4Ga2Br5
1.0
11.6527 -1.9539 0.0000
11.6527 1.9539 0.0000
-1.1391 0.0000 8.1085
Ho Ga Br
4 2 5
Direct
0.0198 0.0198 0.2849
0.3382 0.3382 0.5522
0.6618 0.6618 0.4478
0.9802 0.9802 0.7151
0.4457 0.4457 0.4478
0.5543 0.5543 0.5522
0.1395 0.1395 0.1930
0.2186 0.2186 0.6701
0.5000 0.5000 0.0000
0.7814 0.7814 0.3299
0.8605 0.8605 0.8070
```

Properties
density = 5.39 g cm⁻³
density of states at the Fermi level = 3.5 states/eV per cell
E_form (uncorrected) = -1176 meV per atom
V = 33.57 A^3/atom

=====

6.
## HoIn2GaBr6 (PBE-GGA)

Data for HoIn2GaBr6 after structural relaxation.

POSCAR file:
```
HoIn2GaBr6
1.0
3.9994 2.3091 6.7832
-3.9994 2.3091 6.7832
0.0000 -4.6181 6.7832
Ho In Ga Br
1 2 1 6
Direct
0.0000 0.0000 0.0000
0.2999 0.2999 0.2999
0.7926 0.7926 0.7926
0.5081 0.5081 0.5081
0.1403 0.3276 0.7524
0.2119 0.8682 0.6613
0.3276 0.7524 0.1403
0.6613 0.2119 0.8682
0.7524 0.1403 0.3276
0.8682 0.6613 0.2119
```

Properties
density = 4.17 g cm⁻³
density of states at the Fermi level = 0.0 states/eV per cell
E_form (uncorrected) = -1120 meV per atom
V = 37.59 A^3/atom